# Ac8Er

A relaxed Ac8Er crystal (PBE-GGA, the Alexandria database).

It has space group I4/mmm (No. 139), with a = 11.822 Å, b = 11.822 Å, c = 5.575 Å, α = 90.00°, β = 90.00° and γ = 90.00°. The inequivalent atoms are Ac at (0.000, 0.330, 0.000), Ac at (0.164, 0.164, 0.500) and Er at (0.000, 0.000, 0.000).

As for the theoretical density: 8.5 g/cm3. The calculation puts the formation energy at 34 meV per atom. For the size of the total moment, the calculation gives 0.0 μB per formula unit.